Material: Sm3As2P
Method: DFT, PBE-GGA
State: optimized geometry

Lattice parameters (Å, degrees): 7.239 7.239 7.236 99.58 99.58 119.97
Fractional positions:
Sm 0.000 0.500 0.500
Sm 0.162 0.325 0.000
Sm 0.325 0.162 0.500
Sm 0.500 0.000 0.000
Sm 0.675 0.838 0.500
Sm 0.838 0.675 0.000
As 0.251 0.749 0.250
As 0.417 0.583 0.750
As 0.583 0.417 0.250
As 0.749 0.251 0.750
P 0.084 0.916 0.750
P 0.916 0.084 0.250

Results
distance to the lowest polymorph of the same formula: 0.003 eV/atom
ΔE_f: -1539 meV per atom

Material: Nd3ScF
Method: DFT, PBE-GGA
State: optimized geometry

Lattice parameters (Å, degrees): 5.105 5.105 5.105 90.00 90.00 90.00
Fractional positions:
Nd 0.000 0.000 0.500
Nd 0.000 0.500 0.000
Nd 0.500 0.000 0.000
Sc 0.500 0.500 0.500
F 0.000 0.000 0.000

Results
ΔE_f (raw): -0.95 eV per atom

Material: TbHo2Hg8
Method: DFT, PBE-GGA
State: optimized geometry

Lattice parameters (Å, degrees): 8.358 8.358 7.235 108.35 108.35 34.27
Fractional positions:
Tb 0.000 0.000 0.000
Ho 0.284 0.284 0.345
Ho 0.716 0.716 0.655
Hg 0.097 0.097 0.457
Hg 0.173 0.173 0.903
Hg 0.351 0.351 0.814
Hg 0.470 0.470 0.269
Hg 0.530 0.530 0.731
Hg 0.649 0.649 0.186
Hg 0.827 0.827 0.097
Hg 0.903 0.903 0.543

Results
ΔE_f: -310 meV per atom

Material: AcMg3Ni
Method: DFT, PBE-GGA
State: optimized geometry

Lattice parameters (Å, degrees): 5.470 7.634 6.013 90.00 103.33 90.00
Fractional positions:
Ac 0.163 0.250 0.193
Ac 0.837 0.750 0.807
Mg 0.211 0.750 0.377
Mg 0.337 0.042 0.736
Mg 0.337 0.458 0.736
Mg 0.663 0.542 0.264
Mg 0.663 0.958 0.264
Mg 0.789 0.250 0.623
Ni 0.358 0.750 0.968
Ni 0.642 0.250 0.032

Results
distance to the lowest polymorph of the same formula: 0.000 eV/atom
ΔE_f: -144 meV per atom

Material: MgScCr4
Method: DFT, PBE-GGA
State: optimized geometry

Lattice parameters (Å, degrees): 4.980 4.980 4.980 60.00 60.00 60.00
Fractional positions:
Mg 0.000 0.000 0.000
Sc 0.750 0.750 0.750
Cr 0.375 0.375 0.375
Cr 0.375 0.375 0.876
Cr 0.375 0.876 0.375
Cr 0.876 0.375 0.375

Results
ΔE_f: 262 meV per atom

Material: BaTeOF2
Method: DFT, PBE-GGA
State: optimized geometry

Lattice parameters (Å, degrees): 4.956 4.956 4.253 90.00 90.00 90.00
Fractional positions:
Ba 0.000 0.000 0.000
Te 0.500 0.500 0.500
O 0.500 0.500 0.000
F 0.000 0.500 0.500
F 0.500 0.000 0.500

Results
distance to the lowest polymorph of the same formula: 0.000 eV/atom
ΔE_f (raw): -1.82 eV per atom

Material: Be2CdW
Method: DFT, PBE-GGA
State: optimized geometry

Lattice parameters (Å, degrees): 2.819 3.887 5.008 90.00 106.30 90.00
Fractional positions:
Be 0.000 0.000 0.000
Be 0.135 0.500 0.275
Cd 0.733 0.000 0.468
W 0.415 0.500 0.831

Results
ΔE_f: 376 meV per atom

Material: TeRu2Cl
Method: DFT, PBE-GGA
State: optimized geometry

Lattice parameters (Å, degrees): 9.890 9.890 9.890 17.70 17.70 17.70
Fractional positions:
Te 0.000 0.000 0.000
Ru 0.477 0.477 0.477
Ru 0.743 0.743 0.743
Cl 0.206 0.206 0.206

Results
distance to the lowest polymorph of the same formula: 0.167 eV/atom
ΔE_f (raw): 0.31 eV per atom

Material: Tb5PmPt4
Method: DFT, PBE-GGA
State: optimized geometry

Lattice parameters (Å, degrees): 9.568 9.568 7.704 113.68 113.68 25.55
Fractional positions:
Tb 0.000 0.000 0.000
Tb 0.335 0.335 0.093
Tb 0.335 0.335 0.577
Tb 0.665 0.665 0.423
Tb 0.665 0.665 0.907
Pm 0.000 0.000 0.500
Pt 0.205 0.205 0.705
Pt 0.500 0.500 0.240
Pt 0.500 0.500 0.760
Pt 0.795 0.795 0.295

Results
ΔE_f: -968 meV per atom

Material: TaTc3I
Method: DFT, PBE-GGA
State: optimized geometry

Lattice parameters (Å, degrees): 4.887 4.887 4.887 90.00 90.00 90.00
Fractional positions:
Ta 0.000 0.000 0.000
Tc 0.000 0.000 0.500
Tc 0.000 0.500 0.000
Tc 0.500 0.000 0.000
I 0.500 0.500 0.500

Results
distance to the lowest polymorph of the same formula: 0.000 eV/atom
ΔE_f (raw): 1.87 eV per atom

Material: LiGaTe2I
Method: DFT, PBE-GGA
State: optimized geometry

Lattice parameters (Å, degrees): 5.387 5.387 6.118 90.00 90.00 90.00
Fractional positions:
Li 0.000 0.000 0.000
Ga 0.500 0.500 0.500
Te 0.000 0.500 0.500
Te 0.500 0.000 0.500
I 0.500 0.500 0.000

Results
distance to the lowest polymorph of the same formula: 0.000 eV/atom
ΔE_f (raw): -0.06 eV per atom

Material: CdSn2Au2
Method: DFT, PBE-GGA
State: optimized geometry

Lattice parameters (Å, degrees): 8.389 8.389 8.389 152.90 152.90 38.69
Fractional positions:
Cd 0.000 0.000 0.000
Sn 0.391 0.391 0.000
Sn 0.609 0.609 0.000
Au 0.250 0.750 0.500
Au 0.750 0.250 0.500

Results
distance to the lowest polymorph of the same formula: 0.162 eV/atom
ΔE_f: 34 meV per atom

Material: LaAgAsAu
Method: DFT, PBE-GGA
State: optimized geometry

Lattice parameters (Å, degrees): 5.054 5.054 5.054 60.00 60.00 60.00
Fractional positions:
La 0.000 0.000 0.000
Ag 0.500 0.500 0.500
As 0.750 0.750 0.750
Au 0.250 0.250 0.250

Results
ΔE_f: -628 meV per atom

Material: FeIBrN2
Method: DFT, PBE-GGA
State: optimized geometry

Lattice parameters (Å, degrees): 3.827 3.827 6.476 90.00 90.00 90.00
Fractional positions:
Fe 0.000 0.000 0.000
I 0.000 0.000 0.500
Br 0.500 0.500 0.500
N 0.000 0.500 0.000
N 0.500 0.000 0.000

Results
distance to the lowest polymorph of the same formula: 0.000 eV/atom
ΔE_f (raw): 1.27 eV per atom

Material: Pr3Sm5Y2
Method: DFT, PBE-GGA
State: optimized geometry

Lattice parameters (Å, degrees): 9.353 9.353 9.980 108.56 108.56 108.37
Fractional positions:
Pr 0.023 0.274 0.054
Pr 0.228 0.772 0.750
Pr 0.274 0.023 0.554
Pr 0.726 0.977 0.446
Pr 0.772 0.228 0.250
Pr 0.977 0.726 0.946
Sm 0.018 0.982 0.750
Sm 0.142 0.386 0.771
Sm 0.269 0.731 0.250
Sm 0.386 0.142 0.271
Sm 0.473 0.527 0.250
Sm 0.527 0.473 0.750
Sm 0.614 0.858 0.729
Sm 0.731 0.269 0.750
Sm 0.858 0.614 0.229
Sm 0.982 0.018 0.250
Y 0.223 0.468 0.450
Y 0.468 0.223 0.950
Y 0.532 0.777 0.050
Y 0.777 0.532 0.550

Results
distance to the lowest polymorph of the same formula: 0.000 eV/atom
ΔE_f: 180 meV per atom

Material: EuZn2Rh
Method: DFT, PBE-GGA
State: optimized geometry

Lattice parameters (Å, degrees): 5.772 5.772 5.772 44.01 44.01 44.01
Fractional positions:
Eu 0.000 0.000 0.000
Zn 0.202 0.202 0.202
Zn 0.798 0.798 0.798
Rh 0.500 0.500 0.500

Results
ΔE_f: -372 meV per atom

Material: YScMn3
Method: DFT, PBE-GGA
State: optimized geometry

Lattice parameters (Å, degrees): 4.748 4.748 4.748 90.00 90.00 90.00
Fractional positions:
Y 0.000 0.000 0.000
Sc 0.500 0.500 0.500
Mn 0.000 0.500 0.500
Mn 0.500 0.000 0.500
Mn 0.500 0.500 0.000

Results
distance to the lowest polymorph of the same formula: 0.000 eV/atom
ΔE_f: 845 meV per atom

Material: CdSnPb
Method: DFT, PBE-GGA
State: optimized geometry

Lattice parameters (Å, degrees): 17.156 17.156 17.156 11.31 11.31 11.31
Fractional positions:
Cd 0.143 0.143 0.143
Cd 0.857 0.857 0.857
Sn 0.240 0.240 0.240
Sn 0.760 0.760 0.760
Pb 0.304 0.304 0.304
Pb 0.696 0.696 0.696

Results
distance to the lowest polymorph of the same formula: 0.029 eV/atom
ΔE_f: 84 meV per atom

Material: TaCo4Au
Method: DFT, PBE-GGA
State: optimized geometry

Lattice parameters (Å, degrees): 4.771 4.771 4.771 60.00 60.00 60.00
Fractional positions:
Ta 0.000 0.000 0.000
Co 0.375 0.375 0.375
Co 0.375 0.375 0.875
Co 0.375 0.875 0.375
Co 0.875 0.375 0.375
Au 0.750 0.750 0.750

Results
ΔE_f: -87 meV per atom

Number 1: total magnetization 0.0 μB per cell. Number 2: total magnetization 0.0 μB per cell. Number 3: total magnetization 0.0 μB per cell. Number 4: total magnetization 0.0 μB per cell. Number 5: total magnetization 0.0 μB per cell. Number 6: total magnetization 0.0 μB per cell. Number 7: total magnetization 0.0 μB per cell. Number 8: total magnetization 0.0 μB per cell. Number 9: total magnetization 0.0 μB per cell. Number 10: total magnetization 5.9 μB per cell. Number 11: total magnetization 0.0 μB per cell. Number 12: total magnetization 0.0 μB per cell. Number 13: total magnetization 0.0 μB per cell. Number 14: total magnetization 1.0 μB per cell. Number 15: total magnetization 0.0 μB per cell. Number 16: total magnetization 7.1 μB per cell. Number 17: total magnetization 9.3 μB per cell. Number 18: total magnetization 0.0 μB per cell. Number 19: total magnetization 4.0 μB per cell.